No. 1
Density functional theory data (PBE) for a geometry-optimized CsTbErTe3 structure.

Cell lengths 4.9341, 9.6730, 11.5293 Å; angles 116.19, 90.00, 90.00 degrees
Fractional positions:
Te (0.7500, 0.8857, 0.1223)
Te (0.2500, 0.7826, 0.4615)
Te (0.7500, 0.5056, 0.1749)
Te (0.7500, 0.2174, 0.5385)
Te (0.2500, 0.4944, 0.8251)
Te (0.2500, 0.1143, 0.8777)
Er (0.7500, 0.8673, 0.3699)
Er (0.2500, 0.1327, 0.6301)
Cs (0.2500, 0.2374, 0.2486)
Cs (0.7500, 0.7626, 0.7514)
Tb (0.2500, 0.6667, 0.1176)
Tb (0.7500, 0.3333, 0.8824)

Properties
calculated density	5.66	g/cm3
space-group type	P2_1/m, No. 11
formation energy without anion corrections	-119	kJ per mole of atoms
total DFT energy (no corrections)	-4.48	eV per atom

---

No. 2
Density functional theory data (PBE) for a geometry-optimized Pr3TmTe4 structure.

Cell lengths 4.3923, 7.8062, 7.8062 Å; angles 108.50, 90.00, 90.00 degrees
Fractional positions:
Pr (0.0000, 0.5000, 0.0000)
Pr (0.5000, 0.5000, 0.5000)
Pr (0.0000, 0.0000, 0.5000)
Tm (0.5000, 0.0000, 0.0000)
Te (0.5000, 0.2429, 0.7571)
Te (0.0000, 0.7638, 0.7638)
Te (0.5000, 0.7571, 0.2429)
Te (0.0000, 0.2362, 0.2362)

Properties
calculated density	7.21	g/cm3
space-group type	Cmmm, No. 65
energy above the lowest structure with this stoichiometry	5	meV per atom
formation energy without anion corrections	-132	kJ per mole of atoms
total DFT energy (no corrections)	-5.29	eV per atom

---

No. 3
Density functional theory data (PBE) for a geometry-optimized Cd2CuRu structure.

Cell lengths 4.5510, 4.5510, 4.5510 Å; angles 60.00, 60.00, 60.00 degrees
Fractional positions:
Cu (0.0000, 0.0000, 0.0000)
Ru (0.5000, 0.5000, 0.5000)
Cd (0.2500, 0.2500, 0.2500)
Cd (0.7500, 0.7500, 0.7500)

Properties
calculated density	9.70	g/cm3
energy of formation from the pure elements	0.281	eV per atom
space-group type	Fm-3m, No. 225
energy above the lowest structure with this stoichiometry	73	meV per atom
total DFT energy (no corrections)	-3.52	eV per atom